No. 1
First-principles (PBE) data for BaTm3Rh after structural relaxation, as listed in Alexandria via LeMat-Bulk.

Calculated values
Raw total energy, eV/f.u.: -24.203
M_tot, μB per cell: 0.000

a = 5.474 Å, b = 5.474 Å, c = 5.474 Å
α = 90.00°, β = 90.00°, γ = 90.00°
Atoms (fractional coordinates):
Ba 0.000 0.000 0.000
Tm 0.000 0.500 0.500
Tm 0.500 0.000 0.500
Tm 0.500 0.500 0.000
Rh 0.500 0.500 0.500

---

No. 2
First-principles (PBE) data for BaURh2 after structural relaxation, as listed in Alexandria via LeMat-Bulk.

Calculated values
Raw total energy, eV/f.u.: -29.215
M_tot, μB per cell: 1.457

a = 3.459 Å, b = 3.459 Å, c = 7.835 Å
α = 90.00°, β = 90.00°, γ = 90.00°
Atoms (fractional coordinates):
Ba 0.000 0.000 0.000
U 0.000 0.000 0.500
Rh 0.500 0.500 0.316
Rh 0.500 0.500 0.684

---

No. 3
First-principles (PBE) data for Ba2VRh after structural relaxation, as listed in Alexandria via LeMat-Bulk.

Calculated values
Raw total energy, eV/f.u.: -17.972
M_tot, μB per cell: 4.308
Energy relative to the lowest polymorph listed for this composition, meV/atom: 255

a = 5.543 Å, b = 5.543 Å, c = 5.543 Å
α = 60.00°, β = 60.00°, γ = 60.00°
Atoms (fractional coordinates):
Ba 0.250 0.250 0.250
Ba 0.750 0.750 0.750
V 0.000 0.000 0.000
Rh 0.500 0.500 0.500

---

No. 4
First-principles (PBE) data for Ba2VRh after structural relaxation, as listed in Alexandria via LeMat-Bulk.

Calculated values
Raw total energy, eV/f.u.: -18.994
M_tot, μB per cell: 7.173
Energy relative to the lowest polymorph listed for this composition, meV/atom: 0

a = 8.768 Å, b = 8.768 Å, c = 8.768 Å
α = 94.20°, β = 94.20°, γ = 148.58°
Atoms (fractional coordinates):
Ba 0.375 0.199 0.324
Ba 0.801 0.125 0.176
Ba 0.875 0.051 0.676
Ba 0.949 0.625 0.824
V 0.250 0.750 0.500
V 0.500 0.500 0.000
Rh 0.000 0.000 0.000
Rh 0.750 0.250 0.500

---

No. 5
First-principles (PBE) data for BaVRh3 after structural relaxation, as listed in Alexandria via LeMat-Bulk.

Calculated values
Raw total energy, eV/f.u.: -32.648
M_tot, μB per cell: 0.000

a = 4.687 Å, b = 4.687 Å, c = 4.687 Å
α = 90.00°, β = 90.00°, γ = 90.00°
Atoms (fractional coordinates):
Ba 0.000 0.000 0.000
V 0.500 0.500 0.500
Rh 0.000 0.500 0.500
Rh 0.500 0.000 0.500
Rh 0.500 0.500 0.000

---

No. 6
First-principles (PBE) data for BaVRh2 after structural relaxation, as listed in Alexandria via LeMat-Bulk.

Calculated values
Raw total energy, eV/f.u.: -23.868
M_tot, μB per cell: 2.396
Energy relative to the lowest polymorph listed for this composition, meV/atom: 223

a = 4.819 Å, b = 4.819 Å, c = 4.819 Å
α = 60.00°, β = 60.00°, γ = 60.00°
Atoms (fractional coordinates):
Ba 0.000 0.000 0.000
V 0.500 0.500 0.500
Rh 0.250 0.250 0.250
Rh 0.750 0.750 0.750